The following is a PBE-GGA calculation of a geometry-optimized KAgSO4 structure, from OQMD.

For the total energy, the calculation gives -5.32 eV per atom. As for the space-group type: P6_3.

Structure (extended XYZ):
```
14
Lattice="5.3584 0.0000 0.0000 -2.6792 4.6405 0.0000 0.0000 0.0000 8.5821" Properties=species:S:1:pos:R:3 pbc="T T T"
Ag 0.0000 3.0937 2.2484
Ag 2.6792 1.5468 6.5395
K 0.0000 0.0000 0.1101
K 0.0000 0.0000 4.4011
O 2.6792 1.5468 0.3521
O 1.6945 0.5411 2.3332
O 4.0425 1.1970 2.3332
O 2.3005 2.9025 2.3332
O 0.0000 3.0937 4.6432
O 0.3787 1.7380 6.6242
O -1.3634 3.4435 6.6242
O 0.9846 4.0994 6.6242
S 2.6792 1.5468 1.8280
S 0.0000 3.0937 6.1190
```